10
Lattice="-0.460 -6.815 0.591 1.619 -4.019 -5.313 5.982 -3.827 0.295" Properties=species:S:1:pos:R:3 comment="Ce2NpCrS6 | Alexandria via LeMat-Bulk | PBE | relaxed" e_tot_ev_per_atom=-7.360 space_group="R3, No. 146" rho_g_cm3=5.26 dos_ef_per_ev_atom=1.99 e_form_raw_kj_per_mol_atoms=-139 pbc="T T T"
S 2.034 -9.911 -2.446
S 1.583 -5.730 -0.613
S 3.012 -6.192 -4.946
S 4.491 -7.977 0.066
S 5.516 -8.715 -3.088
S 5.306 -5.476 -2.083
Ce 3.125 -7.313 -2.363
Ce 5.555 -3.810 0.152
Cr 0.584 -3.619 -1.508
Np 4.201 -10.951 -3.706